Density functional theory data (PBE) for a geometry-optimized CrNiPb2 structure.

ΔE_f: 0.66 eV per atom
E above lowest polymorph: 335.8 meV per atom
N(E_F): 0.64 states/eV/atom

Unit cell a=7.0064 b=7.0064 c=7.0064 alpha=90.00 beta=90.00 gamma=90.00
Element x y z (fractional)
Cr  0.0000  0.0000  0.0000
Cr  0.0000  0.5000  0.5000
Cr  0.5000  0.0000  0.5000
Cr  0.5000  0.5000  0.0000
Ni  0.2500  0.2500  0.2500
Ni  0.2500  0.7500  0.7500
Ni  0.7500  0.2500  0.7500
Ni  0.7500  0.7500  0.2500
Pb  0.0000  0.0000  0.5000
Pb  0.0000  0.5000  0.0000
Pb  0.2500  0.2500  0.7500
Pb  0.2500  0.7500  0.2500
Pb  0.5000  0.0000  0.0000
Pb  0.5000  0.5000  0.5000
Pb  0.7500  0.2500  0.2500
Pb  0.7500  0.7500  0.7500


Density functional theory data (PBE) for a geometry-optimized Cr4NiPb structure.

ΔE_f: 0.55 eV per atom
N(E_F): 1.22 states/eV/atom

Unit cell a=4.8836 b=4.8836 c=4.8836 alpha=60.00 beta=60.00 gamma=60.00
Element x y z (fractional)
Cr  0.1221  0.1221  0.1221
Cr  0.1221  0.1221  0.6337
Cr  0.1221  0.6337  0.1221
Cr  0.6337  0.1221  0.1221
Ni  0.7500  0.7500  0.7500
Pb  0.5000  0.5000  0.5000